1.
## Er4CdGaRh2 (PBE-GGA)

Data for Er4CdGaRh2 after structural relaxation.

Lattice parameters (Å, degrees): 4.963 4.963 8.593 73.21 73.21 60.00
Fractional coordinates of all 8 atoms:
Er  0.377  0.377  0.868
Er  0.873  0.873  0.382
Er  0.127  0.127  0.618
Er  0.623  0.623  0.132
Cd  0.000  0.000  0.000
Ga  0.500  0.500  0.500
Rh  0.749  0.749  0.752
Rh  0.251  0.251  0.248

Values from the calculation:
Formation energy from the elements, eV/atom: -0.638
V, A^3/atom: 21.6
DOS at the Fermi energy, states/eV/f.u.: 4.30
Electronic total energy, eV per atom: -5.25
Size of the total moment, μB/atom: 0.000



2.
## Ho3Cu2Si6Pd (PBE-GGA)

Data for Ho3Cu2Si6Pd after structural relaxation.

Lattice parameters (Å, degrees): 5.711 5.711 7.789 90.00 90.00 120.00
Fractional coordinates of all 12 atoms:
Ho  0.333  0.667  0.613
Ho  0.667  0.333  0.387
Ho  0.000  0.000  0.000
Cu  0.667  0.333  0.986
Cu  0.333  0.667  0.014
Si  0.619  0.809  0.276
Si  0.191  0.381  0.276
Si  0.191  0.809  0.276
Si  0.809  0.619  0.724
Si  0.381  0.191  0.724
Si  0.809  0.191  0.724
Pd  0.000  0.000  0.500

Values from the calculation:
V, A^3/atom: 18.3
DOS at the Fermi energy, states/eV/f.u.: 6.17
Electronic total energy, eV per atom: -5.30
Size of the total moment, μB/atom: 0.000



3.
## Ba3PtPb3 (PBE-GGA)

Data for Ba3PtPb3 after structural relaxation.

Lattice parameters (Å, degrees): 5.049 6.820 16.195 84.40 81.03 68.28
Fractional coordinates of all 14 atoms:
Ba  0.523  0.341  0.613
Ba  0.477  0.659  0.387
Ba  0.258  0.244  0.241
Ba  0.742  0.756  0.759
Ba  0.401  0.280  0.919
Ba  0.599  0.720  0.081
Pt  0.761  0.089  0.390
Pt  0.239  0.911  0.610
Pb  0.833  0.797  0.537
Pb  0.167  0.203  0.463
Pb  0.111  0.856  0.922
Pb  0.889  0.144  0.078
Pb  0.960  0.838  0.242
Pb  0.040  0.162  0.758

Values from the calculation:
Formation energy from the elements, eV/atom: -0.573
V, A^3/atom: 36.5
DOS at the Fermi energy, states/eV/f.u.: 4.33
Electronic total energy, eV per atom: -3.85
Size of the total moment, μB/atom: 0.000



4.
## TmMnCrSi2 (PBE-GGA)

Data for TmMnCrSi2 after structural relaxation.

Lattice parameters (Å, degrees): 3.894 3.894 5.861 109.40 109.40 90.00
Fractional coordinates of all 5 atoms:
Tm  0.000  0.000  0.000
Mn  0.250  0.750  0.500
Cr  0.750  0.250  0.500
Si  0.618  0.618  0.236
Si  0.382  0.382  0.764

Values from the calculation:
V, A^3/atom: 15.7
DOS at the Fermi energy, states/eV/f.u.: 5.29
Electronic total energy, eV per atom: -7.33
Size of the total moment, μB/atom: 0.655



5.
## Sr2PmAs3Rh4 (PBE-GGA)

Data for Sr2PmAs3Rh4 after structural relaxation.

Lattice parameters (Å, degrees): 4.255 4.255 11.335 90.00 90.00 90.00
Fractional coordinates of all 10 atoms:
Sr  0.500  0.000  0.231
Sr  0.000  0.500  0.769
Pm  0.500  0.500  0.500
As  0.000  0.000  0.500
As  0.500  0.000  0.877
As  0.000  0.500  0.123
Rh  0.500  0.500  0.000
Rh  0.000  0.000  0.000
Rh  0.500  0.000  0.660
Rh  0.000  0.500  0.340

Values from the calculation:
Formation energy from the elements, eV/atom: -0.804
V, A^3/atom: 20.5
DOS at the Fermi energy, states/eV/f.u.: 3.56
Electronic total energy, eV per atom: -5.95
Size of the total moment, μB/atom: 0.000



6.
## TeIr2Cl (PBE-GGA)

Data for TeIr2Cl after structural relaxation.

Lattice parameters (Å, degrees): 3.555 4.427 4.427 90.00 90.00 90.00
Fractional coordinates of all 4 atoms:
Cl  0.500  0.000  0.500
Ir  0.000  0.000  0.000
Ir  0.000  0.500  0.500
Te  0.500  0.500  0.000

Values from the calculation:
V, A^3/atom: 17.4
DOS at the Fermi energy, states/eV/f.u.: 3.85
Electronic total energy, eV per atom: -4.77
Size of the total moment, μB/atom: 0.000



7.
## CdPdSe2N (PBE-GGA)

Data for CdPdSe2N after structural relaxation.

Lattice parameters (Å, degrees): 5.262 5.262 3.702 90.00 90.00 90.00
Fractional coordinates of all 5 atoms:
N  0.000  0.000  0.500
Se  0.000  0.500  0.000
Se  0.500  0.000  0.000
Pd  0.000  0.000  0.000
Cd  0.500  0.500  0.500

Values from the calculation:
V, A^3/atom: 20.5
DOS at the Fermi energy, states/eV/f.u.: 2.85
Electronic total energy, eV per atom: -3.72
Size of the total moment, μB/atom: 0.104



8.
## La3Al2Si2 (PBE-GGA)

Data for La3Al2Si2 after structural relaxation.

Lattice parameters (Å, degrees): 4.574 6.073 7.194 107.91 90.00 112.12
Fractional coordinates of all 7 atoms:
La  0.325  0.651  0.403
La  0.675  0.349  0.597
La  0.500  0.000  0.000
Al  0.798  0.595  0.083
Al  0.202  0.405  0.917
Si  0.985  0.970  0.666
Si  0.015  0.030  0.334

Values from the calculation:
V, A^3/atom: 24.9
DOS at the Fermi energy, states/eV/f.u.: 4.55
Electronic total energy, eV per atom: -5.33
Size of the total moment, μB/atom: 0.000



Repeat the sixth record exactly.
## TeIr2Cl (PBE-GGA)

Data for TeIr2Cl after structural relaxation.

Lattice parameters (Å, degrees): 3.555 4.427 4.427 90.00 90.00 90.00
Fractional coordinates of all 4 atoms:
Cl  0.500  0.000  0.500
Ir  0.000  0.000  0.000
Ir  0.000  0.500  0.500
Te  0.500  0.500  0.000

Values from the calculation:
V, A^3/atom: 17.4
DOS at the Fermi energy, states/eV/f.u.: 3.85
Electronic total energy, eV per atom: -4.77
Size of the total moment, μB/atom: 0.000